VASP calculation (PBE) on a geometry-optimized AgRhSe2 structure.

## Properties
raw total energy	-16.98	eV for the cell shown
uncorrected formation energy	47	meV per atom

Cell: 3.7659 3.7659 5.3774 Å, 90.00 90.00 90.00°
Atoms (fractional coordinates):
1 Ag 0.0000 0.0000 0.0000
2 Rh 0.5000 0.5000 0.5000
3 Se 0.0000 0.0000 0.5000
4 Se 0.5000 0.5000 0.0000



VASP calculation (PBE) on a geometry-optimized HgMo2Pb structure.

## Properties
raw total energy	-21.97	eV for the cell shown
relative energy among the computed polymorphs	2.11	eV/f.u.
ΔH_f (0 K)	3.70	eV/f.u.

Cell: 2.9315 2.9315 9.0341 Å, 90.00 90.00 90.00°
Atoms (fractional coordinates):
1 Hg 0.0000 0.0000 0.0000
2 Mo 0.5000 0.5000 0.2392
3 Mo 0.5000 0.5000 0.7608
4 Pb 0.0000 0.0000 0.5000



VASP calculation (PBE) on a geometry-optimized CaY2C2 structure.

## Properties
raw total energy	-62.06	eV for the cell shown
relative energy among the computed polymorphs	1.16	eV/f.u.
ΔH_f (0 K)	2.35	eV/f.u.

Cell: 4.5108 4.5108 11.8813 Å, 90.00 90.00 90.00°
Atoms (fractional coordinates):
1 Ca 0.0000 0.0000 0.0000
2 Ca 0.5000 0.5000 0.5000
3 Y 0.0000 0.5000 0.2500
4 Y 0.0000 0.5000 0.7500
5 Y 0.5000 0.0000 0.2500
6 Y 0.5000 0.0000 0.7500
7 C 0.0000 0.0000 0.3311
8 C 0.0000 0.0000 0.6689
9 C 0.5000 0.5000 0.1689
10 C 0.5000 0.5000 0.8311



VASP calculation (PBE) on a geometry-optimized Ba6Hg2PdPt structure.

## Properties
raw total energy	-56.95	eV for the cell shown
ΔH_f (0 K)	-5.10	eV/f.u.

Cell: 8.1042 8.8634 14.4572 Å, 90.00 123.97 90.00°
Atoms (fractional coordinates):
1 Ba 0.1203 0.1847 0.4396
2 Ba 0.1203 0.3153 0.9396
3 Ba 0.2617 0.6882 0.4390
4 Ba 0.2617 0.8118 0.9390
5 Ba 0.3786 0.0293 0.2513
6 Ba 0.3786 0.4707 0.7513
7 Ba 0.6214 0.5293 0.2487
8 Ba 0.6214 0.9707 0.7487
9 Ba 0.7383 0.1882 0.0610
10 Ba 0.7383 0.3118 0.5610
11 Ba 0.8797 0.6847 0.0604
12 Ba 0.8797 0.8153 0.5604
13 Hg 0.2050 0.1039 0.7500
14 Hg 0.2050 0.3961 0.2500
15 Hg 0.7950 0.6039 0.7500
16 Hg 0.7950 0.8961 0.2500
17 Pd 0.0000 0.0000 0.0000
18 Pd 0.0000 0.5000 0.5000
19 Pt 0.5000 0.0000 0.5000
20 Pt 0.5000 0.5000 0.0000



VASP calculation (PBE) on a geometry-optimized YBeInRe2 structure.

## Properties
raw total energy	-34.95	eV for the cell shown
ΔH_f (0 K)	2.88	eV/f.u.

Cell: 4.3424 4.3424 4.7558 Å, 90.00 90.00 90.00°
Atoms (fractional coordinates):
1 Y 0.0000 0.0000 0.0000
2 Be 0.0000 0.0000 0.5000
3 In 0.5000 0.5000 0.0000
4 Re 0.0000 0.5000 0.5000
5 Re 0.5000 0.0000 0.5000



VASP calculation (PBE) on a geometry-optimized PuCrRu2 structure.

## Properties
raw total energy	-42.20	eV for the cell shown
ΔH_f (0 K)	0.31	eV/f.u.

Cell: 4.1672 4.1672 3.6792 Å, 90.00 90.00 90.00°
Atoms (fractional coordinates):
1 Pu 0.0000 0.0000 0.0000
2 Cr 0.5000 0.5000 0.0000
3 Ru 0.0000 0.5000 0.5000
4 Ru 0.5000 0.0000 0.5000



VASP calculation (PBE) on a geometry-optimized ScAs2Se structure.

## Properties
raw total energy	-57.35	eV for the cell shown
uncorrected formation energy	0	meV per atom

Cell: 3.2462 3.2462 26.5422 Å, 90.00 90.00 120.00°
Atoms (fractional coordinates):
1 Sc 0.0000 0.0000 0.0000
2 Sc 0.3333 0.6667 0.6667
3 Sc 0.6667 0.3333 0.3333
4 As 0.0000 0.0000 0.2533
5 As 0.0000 0.0000 0.7467
6 As 0.3333 0.6667 0.4133
7 As 0.3333 0.6667 0.9200
8 As 0.6667 0.3333 0.0800
9 As 0.6667 0.3333 0.5867
10 Se 0.0000 0.0000 0.5000
11 Se 0.3333 0.6667 0.1667
12 Se 0.6667 0.3333 0.8333



VASP calculation (PBE) on a geometry-optimized CeNdPdPb structure.

## Properties
raw total energy	-86.02	eV for the cell shown
ΔH_f (0 K)	-1.90	eV/f.u.

Cell: 7.5933 7.5933 7.5933 Å, 90.00 90.00 90.00°
Atoms (fractional coordinates):
1 Ce 0.0000 0.0000 0.0000
2 Ce 0.0000 0.5000 0.5000
3 Ce 0.5000 0.0000 0.5000
4 Ce 0.5000 0.5000 0.0000
5 Nd 0.0000 0.0000 0.5000
6 Nd 0.0000 0.5000 0.0000
7 Nd 0.5000 0.0000 0.0000
8 Nd 0.5000 0.5000 0.5000
9 Pd 0.2500 0.2500 0.2500
10 Pd 0.2500 0.7500 0.7500
11 Pd 0.7500 0.2500 0.7500
12 Pd 0.7500 0.7500 0.2500
13 Pb 0.2500 0.2500 0.7500
14 Pb 0.2500 0.7500 0.2500
15 Pb 0.7500 0.2500 0.2500
16 Pb 0.7500 0.7500 0.7500